{
  "formula": "La4Mg3Cd2",
  "functional": "PBE-GGA",
  "state": "relaxed",
  "lattice": [[5.4944, 0.0000, 0.0000], [-2.7472, 4.7583, 0.0000], [0.0000, 0.0000, 10.3098]],
  "species": ["La", "La", "La", "La", "Mg", "Mg", "Mg", "Cd", "Cd"],
  "frac_coords": [[0.0000, 0.0000, 0.1624], [0.0000, 0.0000, 0.8376], [0.3333, 0.6667, 0.6245], [0.6667, 0.3333, 0.3755], [0.0000, 0.0000, 0.5000], [0.3333, 0.6667, 0.0032], [0.6667, 0.3333, 0.9968], [0.3333, 0.6667, 0.3037], [0.6667, 0.3333, 0.6963]],
  "total_magnetization_mub_per_cell": 0.00,
  "crystal_system": "trigonal",
  "energy_ev_per_cell": -27.9,
  "formation_enthalpy_0k_ev_per_atom": -0.175
}



{
  "formula": "Ca2NiBr",
  "functional": "PBE-GGA",
  "state": "relaxed",
  "lattice": [[0.0000, 3.6543, 3.6543], [3.6543, 0.0000, 3.6543], [3.6543, 3.6543, 0.0000]],
  "species": ["Ca", "Ca", "Ni", "Br"],
  "frac_coords": [[0.2500, 0.2500, 0.2500], [0.7500, 0.7500, 0.7500], [0.0000, 0.0000, 0.0000], [0.5000, 0.5000, 0.5000]],
  "total_magnetization_mub_per_cell": 0.00,
  "crystal_system": "cubic",
  "energy_ev_per_cell": -13.1,
  "formation_energy_uncorrected_ev_per_atom": -0.41
}



{
  "formula": "PmZn2SiPd",
  "functional": "PBE-GGA",
  "state": "relaxed",
  "lattice": [[-2.0853, 2.1059, 5.2145], [2.0853, -2.1059, 5.2145], [2.0853, 2.1059, -5.2145]],
  "species": ["Pm", "Zn", "Zn", "Si", "Pd"],
  "frac_coords": [[0.0000, 0.0000, 0.0000], [0.3821, 0.3821, 0.0000], [0.7454, 0.2454, 0.5000], [0.6127, 0.6127, 0.0000], [0.2345, 0.7345, 0.5000]],
  "total_magnetization_mub_per_cell": 0.00,
  "crystal_system": "orthorhombic",
  "energy_ev_per_cell": -20.9,
  "formation_energy_uncorrected_ev_per_atom": -0.60
}



Please write out number 2 again, unchanged.
{
  "formula": "Ca2NiBr",
  "functional": "PBE-GGA",
  "state": "relaxed",
  "lattice": [[0.0000, 3.6543, 3.6543], [3.6543, 0.0000, 3.6543], [3.6543, 3.6543, 0.0000]],
  "species": ["Ca", "Ca", "Ni", "Br"],
  "frac_coords": [[0.2500, 0.2500, 0.2500], [0.7500, 0.7500, 0.7500], [0.0000, 0.0000, 0.0000], [0.5000, 0.5000, 0.5000]],
  "total_magnetization_mub_per_cell": 0.00,
  "crystal_system": "cubic",
  "energy_ev_per_cell": -13.1,
  "formation_energy_uncorrected_ev_per_atom": -0.41
}